Entry from Alexandria: a relaxed Tb2PrSm crystal (PBE-GGA).

Its total energy is -4.68 eV per atom. The value obtained for the calculated formation energy is 0.013 eV/atom. The value obtained for the magnetization is 0.0 μB per cell. As for the crystal system: trigonal. The density of states at the Fermi level is 1.20 states/eV/atom.

a b c (Å): 11.9434 11.9434 11.9434
angles (deg): 17.43 17.43 17.43
Last column: nearest neighbours and their distance in Å.
Fractional coordinates of all 4 atoms:
1 Tb 0.2492 0.2492 0.2492  3 Sm 3.58, 6 Tb 3.62, 3 Pr 3.63
2 Tb 0.7508 0.7508 0.7508  3 Sm 3.58, 6 Tb 3.62, 3 Pr 3.63
3 Pr 0.0000 0.0000 0.0000  6 Pr 3.62, 6 Tb 3.63
4 Sm 0.5000 0.5000 0.5000  6 Tb 3.58, 6 Sm 3.62